[1]
VASP calculation (GGA-PBE) on LiCa4Tl after structural relaxation.

Unit cell a=5.468 b=5.468 c=7.663 alpha=89.89 beta=89.94 gamma=90.00
Positions (direct):
Li1 0.001 0.997 0.498
Ca1 0.501 0.997 0.235
Ca2 0.501 0.998 0.761
Ca3 0.002 0.497 0.761
Ca4 0.001 0.497 0.235
Tl1 0.501 0.497 0.998

Calculated values
Energy of formation from the pure elements (eV/atom): 0.00
Space-group type: No. 12

***

[2]
VASP calculation (GGA-PBE) on FeMoP2 after structural relaxation.

Unit cell a=4.398 b=4.398 c=4.218 alpha=75.78 beta=75.78 gamma=40.72
Positions (direct):
Fe1 0.487 0.487 0.588
Mo1 0.260 0.260 0.185
P1 0.997 0.997 0.038
P2 0.756 0.756 0.690

Calculated values
Energy of formation from the pure elements (eV/atom): -0.30
Space-group type: No. 8

***

[3]
VASP calculation (GGA-PBE) on Mn2Re4C after structural relaxation.

Unit cell a=4.006 b=4.006 c=6.782 alpha=72.82 beta=72.82 gamma=90.00
Positions (direct):
Re1 0.831 0.831 0.337
Re2 0.169 0.169 0.663
Re3 0.000 0.500 0.000
Re4 0.500 0.000 0.000
C1 0.000 0.000 0.000
Mn1 0.640 0.640 0.720
Mn2 0.360 0.360 0.280

Calculated values
Energy of formation from the pure elements (eV/atom): 0.63
Space-group type: No. 139

***

[4]
VASP calculation (GGA-PBE) on Th2Al4HgPt3 after structural relaxation.

Unit cell a=4.355 b=4.355 c=10.474 alpha=90.00 beta=90.00 gamma=90.00
Positions (direct):
Th1 0.500 0.000 0.246
Th2 0.000 0.500 0.754
Al1 0.500 0.500 0.000
Al2 0.000 0.000 0.000
Al3 0.500 0.000 0.639
Al4 0.000 0.500 0.361
Hg1 0.500 0.500 0.500
Pt1 0.000 0.000 0.500
Pt2 0.500 0.000 0.872
Pt3 0.000 0.500 0.128

Calculated values
Energy of formation from the pure elements (eV/atom): -0.92
Space-group type: No. 115

***

[5]
VASP calculation (GGA-PBE) on Tm3Tl4CrS8 after structural relaxation.

Unit cell a=7.771 b=8.753 c=7.770 alpha=116.35 beta=120.00 gamma=90.00
Positions (direct):
Tm1 0.500 0.500 0.000
Tm2 0.500 0.500 0.500
Tm3 0.000 0.500 0.500
Tl1 0.500 0.000 0.000
Tl2 0.500 0.000 0.500
Tl3 0.000 0.000 0.000
Tl4 0.000 0.000 0.500
Cr1 0.000 0.500 0.000
S1 0.219 0.687 0.969
S2 0.219 0.687 0.437
S3 0.267 0.302 0.535
S4 0.750 0.687 0.969
S5 0.250 0.313 0.031
S6 0.733 0.698 0.465
S7 0.781 0.313 0.563
S8 0.781 0.313 0.031

Calculated values
Energy relative to the elements, uncorrected (meV per atom): -1217
Space-group type: No. 166

***

[6]
VASP calculation (GGA-PBE) on CoRePb2 after structural relaxation.

Unit cell a=4.859 b=4.859 c=4.859 alpha=60.00 beta=60.00 gamma=60.00
Positions (direct):
Co1 0.500 0.500 0.500
Pb1 0.000 0.000 0.000
Pb2 0.250 0.250 0.250
Re1 0.750 0.750 0.750

Calculated values
Energy of formation from the pure elements (eV/atom): 1.20
Space-group type: No. 216

***

[7]
VASP calculation (GGA-PBE) on TbSm2Tl3 after structural relaxation.

Unit cell a=3.814 b=3.814 c=11.729 alpha=90.00 beta=90.00 gamma=90.00
Positions (direct):
Tb1 0.500 0.500 0.500
Sm1 0.500 0.500 0.831
Sm2 0.500 0.500 0.169
Tl1 0.000 0.000 0.000
Tl2 0.000 0.000 0.662
Tl3 0.000 0.000 0.338

Calculated values
Energy of formation from the pure elements (eV/atom): -0.37
Space-group type: No. 123

***

[8]
VASP calculation (GGA-PBE) on AcNdInAg after structural relaxation.

Unit cell a=5.580 b=5.580 c=5.580 alpha=60.00 beta=60.00 gamma=60.00
Positions (direct):
Ac1 0.750 0.750 0.750
Nd1 0.250 0.250 0.250
Ag1 0.500 0.500 0.500
In1 0.000 0.000 0.000

Calculated values
Energy of formation from the pure elements (eV/atom): -0.33
Space-group type: No. 216

***

[9]
VASP calculation (GGA-PBE) on Y2SnOsC after structural relaxation.

Unit cell a=5.024 b=5.024 c=3.979 alpha=90.00 beta=90.00 gamma=90.00
Positions (direct):
Y1 0.000 0.500 0.000
Y2 0.500 0.000 0.000
C1 0.000 0.000 0.000
Os1 0.000 0.000 0.500
Sn1 0.500 0.500 0.500

Calculated values
Energy of formation from the pure elements (eV/atom): -0.43
Space-group type: No. 123

***

[10]
VASP calculation (GGA-PBE) on Tb2Er3Pd4 after structural relaxation.

Unit cell a=6.665 b=7.355 c=9.274 alpha=90.00 beta=111.06 gamma=90.00
Positions (direct):
Tb1 0.095 0.584 0.190
Tb2 0.905 0.416 0.810
Tb3 0.405 0.084 0.810
Tb4 0.595 0.916 0.190
Er1 0.000 0.000 0.000
Er2 0.500 0.500 0.000
Er3 0.517 0.750 0.534
Er4 0.983 0.250 0.466
Er5 0.483 0.250 0.466
Er6 0.017 0.750 0.534
Pd1 0.682 0.750 0.865
Pd2 0.818 0.250 0.135
Pd3 0.318 0.250 0.135
Pd4 0.182 0.750 0.865
Pd5 0.167 0.962 0.333
Pd6 0.833 0.038 0.667
Pd7 0.333 0.462 0.667
Pd8 0.667 0.538 0.333

Calculated values
Energy of formation from the pure elements (eV/atom): -0.71
Space-group type: No. 64

***

[11]
VASP calculation (GGA-PBE) on Hf4BeIr after structural relaxation.

Unit cell a=6.348 b=6.348 c=7.182 alpha=116.23 beta=116.23 gamma=90.00
Positions (direct):
Hf1 0.469 0.969 0.277
Hf2 0.969 0.808 0.277
Hf3 0.308 0.469 0.277
Hf4 0.692 0.531 0.723
Hf5 0.031 0.192 0.723
Hf6 0.531 0.031 0.723
Hf7 0.192 0.692 0.723
Hf8 0.808 0.308 0.277
Be1 0.250 0.250 0.500
Be2 0.750 0.750 0.500
Ir1 0.500 0.500 0.000
Ir2 0.000 0.000 0.000

Calculated values
Energy of formation from the pure elements (eV/atom): -0.27
Space-group type: No. 140

***

[12]
VASP calculation (GGA-PBE) on ReTc2Hg after structural relaxation.

Unit cell a=5.440 b=5.440 c=5.440 alpha=147.99 beta=128.60 gamma=61.85
Positions (direct):
Hg1 0.250 0.750 0.500
Re1 0.750 0.250 0.500
Tc1 0.972 0.972 0.000
Tc2 0.528 0.528 0.000

Calculated values
Energy of formation from the pure elements (eV/atom): 0.62
Space-group type: No. 71

***

| no. | Fermi-level density of states (states/eV/f.u.) |
| --- | --- |
| 1 | 5.755 |
| 2 | 2.610 |
| 3 | 6.045 |
| 4 | 4.900 |
| 5 | 0.164 |
| 6 | 3.523 |
| 7 | 4.916 |
| 8 | 4.305 |
| 9 | 1.924 |
| 10 | 7.976 |
| 11 | 6.047 |
| 12 | 2.771 |